Below is a relaxed structure of Er2TiAu, with properties calculated at the GGA-PBE level.

Cell: 3.409 3.409 7.976 Å, 90.00 90.00 90.00°
Sites, in units of the cell vectors:
Au: 0.500 0.500 0.000
Er: 0.000 0.000 0.759
Er: 0.000 0.000 0.241
Ti: 0.500 0.500 0.500

## Properties
Energy of formation from the pure elements ... -1.21 eV per formula unit
Total magnetic moment ... 0.0 μB/f.u.
Electronic total energy ... -0.395 Ry/atom